Entry 1:
This record from Alexandria describes a relaxed SrMgAl2Hg2 crystal. The functional is GGA-PBE.

Lattice parameters (Å, degrees): 4.6481 4.6481 7.6573 90.00 90.00 120.00
Positions (direct):
Al  0.6667  0.3333  0.2926
Al  0.3333  0.6667  0.7074
Hg  0.6667  0.3333  0.7096
Hg  0.3333  0.6667  0.2904
Mg  0.0000  0.0000  0.5000
Sr  0.0000  0.0000  0.0000

Calculated values
Its density is 6.6 g/cm³. As for the formation energy: -0.23 eV per atom. As for the total moment: 0.0 μB/f.u. The volume comes out at 143 Å³ per cell.

---

Entry 2:
This record from Alexandria describes a relaxed Zr2TcMo crystal. The functional is GGA-PBE.

Lattice parameters (Å, degrees): 5.3559 5.3559 5.3559 143.87 125.11 67.49
Positions (direct):
Zr  0.5057  0.5057  0.0000
Zr  0.9943  0.9943  0.0000
Tc  0.7500  0.2500  0.5000
Mo  0.2500  0.7500  0.5000

Calculated values
Its density is 8.6 g/cm³. As for the formation energy: -0.02 eV per atom. As for the total moment: 0.0 μB/f.u. The volume comes out at 73 Å³ per cell.

---

Entry 3:
This record from Alexandria describes a relaxed BaCdTe4 crystal. The functional is GGA-PBE.

Lattice parameters (Å, degrees): 6.5808 6.5808 6.5808 60.00 60.00 60.00
Positions (direct):
Te  0.3746  0.8763  0.3746
Te  0.8763  0.3746  0.3746
Te  0.3746  0.3746  0.3746
Te  0.3746  0.3746  0.8763
Ba  0.7500  0.7500  0.7500
Cd  0.0000  0.0000  0.0000

Calculated values
The value obtained for the formation energy without anion corrections is -0.360 eV per atom. Its density is 6.3 g/cm³. As for the total moment: 0.0 μB/f.u. The volume comes out at 202 Å³ per cell.

---

Entry 4:
This record from Alexandria describes a relaxed KCuMo2 crystal. The functional is GGA-PBE.

Lattice parameters (Å, degrees): 4.3004 4.3004 10.5100 78.19 78.19 90.00
Positions (direct):
Mo  0.7751  0.6250  0.2500
Mo  0.9749  0.1250  0.2500
Mo  0.3750  0.0251  0.7500
Mo  0.8750  0.2249  0.7500
Cu  0.7500  0.2500  0.5000
Cu  0.0000  0.0000  0.0000
K  0.5000  0.5000  0.0000
K  0.2500  0.7500  0.5000

Calculated values
Its density is 5.3 g/cm³. As for the formation energy: 1.50 eV per atom. As for the total moment: 0.0 μB/f.u. The volume comes out at 186 Å³ per cell.

---

Entry 5:
This record from Alexandria describes a relaxed Li6SnHg2 crystal. The functional is GGA-PBE.

Lattice parameters (Å, degrees): 4.6244 8.3362 8.5900 90.01 90.00 90.00
Positions (direct):
Li  0.0000  0.9851  0.1749
Li  0.0000  0.6659  0.5498
Li  0.0000  0.6760  0.8872
Li  0.0000  0.0149  0.8251
Li  0.5000  0.1659  0.9502
Li  0.5000  0.5149  0.6749
Li  0.5000  0.8240  0.3872
Li  0.5000  0.4851  0.3251
Li  0.5000  0.8341  0.0498
Li  0.0000  0.3240  0.1128
Li  0.0000  0.3341  0.4502
Li  0.5000  0.1760  0.6128
Hg  0.5000  0.1497  0.2707
Hg  0.0000  0.3503  0.7707
Hg  0.0000  0.6497  0.2293
Hg  0.5000  0.8503  0.7293
Sn  0.5000  0.5000  0.0000
Sn  0.0000  0.0000  0.5000

Calculated values
Its density is 5.6 g/cm³. As for the formation energy: -0.29 eV per atom. As for the total moment: 0.0 μB/f.u. The volume comes out at 331 Å³ per cell.

---

Entry 6:
This record from Alexandria describes a relaxed ZnPt4Rh5 crystal. The functional is GGA-PBE.

Lattice parameters (Å, degrees): 2.7649 3.8660 13.7972 90.00 90.00 90.00
Positions (direct):
Pt  0.0000  0.0000  0.3994
Pt  0.0000  0.0000  0.1957
Pt  0.0000  0.0000  0.8043
Pt  0.0000  0.0000  0.6006
Rh  0.5000  0.5000  0.7026
Rh  0.5000  0.5000  0.0967
Rh  0.5000  0.5000  0.9033
Rh  0.5000  0.5000  0.5000
Rh  0.5000  0.5000  0.2974
Zn  0.0000  0.0000  0.0000

Calculated values
Its density is 15.3 g/cm³. As for the formation energy: -0.08 eV per atom. As for the total moment: 0.0 μB/f.u. The volume comes out at 147 Å³ per cell.